# 1
VASP calculation (PBE) on TbFeReSi2 after structural relaxation.

a b c (Å): 4.001 4.001 10.276
angles (deg): 90.00 90.00 90.00
Space group I-4m2 (No. 119)
Inequivalent atoms, fractional coordinates:
Tb: 0.000 0.000 0.000 (multiplicity 2)
Fe: 0.000 0.500 0.750 (multiplicity 2)
Re: 0.000 0.500 0.250 (multiplicity 2)
Si: 0.000 0.000 0.379 (multiplicity 4)

DOS(E_F) ... 0.871 states/eV per atom
Size of the total moment ... 4.0 μB per cell
Energy relative to the elements, uncorrected ... -2.77 eV/f.u.
E ... -7.83 eV/atom

***

# 2
VASP calculation (PBE) on ThFeReSi2 after structural relaxation.

a b c (Å): 4.129 4.129 10.019
angles (deg): 90.00 90.00 90.00
Space group I-4m2 (No. 119)
Inequivalent atoms, fractional coordinates:
Th: 0.000 0.000 0.000 (multiplicity 2)
Fe: 0.000 0.500 0.750 (multiplicity 2)
Re: 0.000 0.500 0.250 (multiplicity 2)
Si: 0.000 0.000 0.371 (multiplicity 4)

DOS(E_F) ... 1.036 states/eV per atom
Size of the total moment ... 2.3 μB per cell
Energy relative to the elements, uncorrected ... -2.81 eV/f.u.
E ... -8.40 eV/atom

***

# 3
VASP calculation (PBE) on TlFeReSi2 after structural relaxation.

a b c (Å): 5.002 5.002 4.865
angles (deg): 90.00 90.00 90.00
Space group P4/mmm (No. 123)
Inequivalent atoms, fractional coordinates:
Tl: 0.000 0.000 0.000 (multiplicity 1)
Fe: 0.000 0.000 0.500 (multiplicity 1)
Re: 0.500 0.500 0.500 (multiplicity 1)
Si: 0.000 0.500 0.000 (multiplicity 2)

DOS(E_F) ... 1.165 states/eV per atom
Size of the total moment ... 6.3 μB per cell
Energy relative to the elements, uncorrected ... 12.06 eV/f.u.
E ... -4.41 eV/atom

***

# 4
VASP calculation (PBE) on TmFeReSi2 after structural relaxation.

a b c (Å): 3.978 3.978 10.176
angles (deg): 90.00 90.00 90.00
Space group I-4m2 (No. 119)
Inequivalent atoms, fractional coordinates:
Tm: 0.000 0.000 0.000 (multiplicity 2)
Fe: 0.000 0.500 0.250 (multiplicity 2)
Re: 0.000 0.500 0.750 (multiplicity 2)
Si: 0.000 0.000 0.381 (multiplicity 4)

DOS(E_F) ... 0.878 states/eV per atom
Size of the total moment ... 3.9 μB per cell
Energy relative to the elements, uncorrected ... -2.74 eV/f.u.
E ... -7.79 eV/atom

***

Repeat the second record exactly.
VASP calculation (PBE) on ThFeReSi2 after structural relaxation.

a b c (Å): 4.129 4.129 10.019
angles (deg): 90.00 90.00 90.00
Space group I-4m2 (No. 119)
Inequivalent atoms, fractional coordinates:
Th: 0.000 0.000 0.000 (multiplicity 2)
Fe: 0.000 0.500 0.750 (multiplicity 2)
Re: 0.000 0.500 0.250 (multiplicity 2)
Si: 0.000 0.000 0.371 (multiplicity 4)

DOS(E_F) ... 1.036 states/eV per atom
Size of the total moment ... 2.3 μB per cell
Energy relative to the elements, uncorrected ... -2.81 eV/f.u.
E ... -8.40 eV/atom